Record 1
K2MgTlF6: relaxed, GGA-PBE.

Values from the calculation:
* energy relative to the elements, uncorrected: -2674 meV/atom

Unit cell a=6.1899 b=8.7586 c=6.2066 alpha=90.00 beta=90.00 gamma=90.00
Last column: nearest neighbours and their distance in Å.
Space group Pmmn (No. 59, origin choice 2)
One atom of each set of equivalent atoms:
K (0.2500, 0.9995, 0.2418) [4 per cell]  12 F 3.00-3.22
Mg (0.2500, 0.2500, 0.7550) [2 per cell]  6 F 2.00-2.01
Tl (0.2500, 0.7500, 0.7436) [2 per cell]  6 F 2.37-2.38
F (0.0198, 0.2500, 0.5278) [4 per cell]  1 Mg 2.00
F (0.0213, 0.2500, 0.9855) [4 per cell]  1 Mg 2.01
F (0.2500, 0.0208, 0.7593) [4 per cell]  1 Mg 2.01

---

Record 2
Y2AsPRh6: relaxed, GGA-PBE.

Values from the calculation:
* energy of formation from the pure elements: -6.94 eV per formula unit

Unit cell a=5.8408 b=8.6103 c=7.2683 alpha=90.00 beta=90.00 gamma=90.00
Last column: nearest neighbours and their distance in Å.
Space group Pmmn (No. 59, origin choice 2)
One atom of each set of equivalent atoms:
Y (0.2500, 0.0233, 0.2343) [4 per cell]  7 Rh 2.93-3.21
As (0.2500, 0.7500, 0.7864) [2 per cell]  6 Rh 2.40-2.54
P (0.2500, 0.2500, 0.7284) [2 per cell]  6 Rh 2.20-2.26
Rh (0.0177, 0.7500, 0.0590) [4 per cell]  1 P 2.20, 1 As 2.40
Rh (0.0185, 0.7500, 0.4903) [4 per cell]  1 P 2.23
Rh (0.2500, 0.5011, 0.6361) [4 per cell]  1 P 2.26, 1 As 2.41

---

Record 3
Y3TeRh: relaxed, GGA-PBE.

Values from the calculation:
* energy above the lowest structure with this stoichiometry: 0 meV per atom
* energy relative to the elements, uncorrected: -841 meV/atom

Unit cell a=8.5296 b=3.9025 c=8.6890 alpha=90.00 beta=91.14 gamma=90.00
Last column: nearest neighbours and their distance in Å.
Space group P2_1/m (No. 11)
One atom of each set of equivalent atoms:
Y (0.0980, 0.2500, 0.1463) [2 per cell]  2 Rh 2.83
Y (0.1658, 0.7500, 0.4988) [2 per cell]  3 Rh 2.86-3.02, 1 Te 3.17
Y (0.3323, 0.7500, 0.8657) [2 per cell]  2 Rh 2.97, 3 Te 3.11-3.12
Te (0.3977, 0.7500, 0.2187) [2 per cell]  6 Y 3.11-3.27
Rh (0.1053, 0.2500, 0.7308) [2 per cell]  7 Y 2.83-3.02

---

no.,DOS(E_F) (states/eV/f.u.),calculated density (g/cm³)
1,3.80,4.2
2,4.61,8.2
3,4.24,5.7